[1]
Compound: Pr8Hg2Pb
Source: the Alexandria database
Functional: PBE-GGA
Structure: optimized geometry

Values from the calculation:
Energy (eV per cell): -45.4

```
Pr8Hg2Pb
1.0
5.191 0.000 0.000
0.000 8.487 -0.055
-2.596 -3.710 8.083
Pr Hg Pb
8 2 1
Cartesian
0.000 1.580 6.510 Pr
2.596 6.763 2.843 Pr
2.596 3.947 5.394 Pr
2.596 -1.222 7.325 Pr
0.000 0.830 2.634 Pr
0.000 -1.986 5.185 Pr
2.596 3.197 1.518 Pr
0.000 5.999 0.703 Pr
2.596 0.765 4.770 Hg
0.000 4.012 3.258 Hg
2.596 0.000 0.000 Pb
```

---

[2]
Compound: ScUSb2N
Source: the Alexandria database
Functional: PBE-GGA
Structure: optimized geometry

Values from the calculation:
Raw formation energy (meV/atom): -875

```
ScUSb2N
1.0
-1.182 -2.071 -3.179
3.542 0.591 -1.702
4.669 -11.467 5.735
Sc U Sb N
2 2 4 2
Cartesian
-0.199 -1.999 -1.108 Sc
6.049 -10.208 4.403 Sc
2.123 -7.701 1.744 U
3.726 -4.506 1.551 U
5.042 -7.737 3.167 Sb
2.405 -1.260 -0.073 Sb
3.445 -10.947 3.367 Sb
0.808 -4.470 0.128 Sb
2.335 -5.733 2.868 N
3.515 -6.474 0.427 N
```

---

[3]
Compound: AcCo2AsN
Source: the Alexandria database
Functional: PBE-GGA
Structure: optimized geometry

Values from the calculation:
Raw formation energy (meV/atom): -597

```
AcCo2AsN
1.0
-3.504 -1.051 1.403
4.059 -4.013 1.659
1.246 3.689 5.876
Ac Co As N
2 4 2 2
Cartesian
3.019 -1.333 6.539 Ac
-1.218 -0.042 2.398 Ac
1.931 2.007 6.324 Co
-0.129 -3.381 2.613 Co
1.444 0.566 4.029 Co
0.357 -1.940 4.908 Co
0.231 0.179 6.181 As
1.570 -1.554 2.757 As
0.000 0.000 0.000 N
0.623 1.845 2.938 N
```

---

[4]
Compound: Sr2CaI2
Source: the Alexandria database
Functional: PBE-GGA
Structure: optimized geometry

Values from the calculation:
Raw formation energy (meV/atom): -785

```
Sr2CaI2
1.0
5.592 0.000 0.000
0.000 5.592 0.000
2.796 2.796 7.826
I Sr Ca
2 2 1
Cartesian
5.592 2.796 3.913 I
2.796 5.592 3.913 I
2.796 2.796 1.999 Sr
5.592 5.592 5.827 Sr
0.000 0.000 0.000 Ca
```

---

[5]
Compound: NaLiP2W
Source: the Alexandria database
Functional: PBE-GGA
Structure: optimized geometry

Values from the calculation:
Energy (eV per cell): -25.3

```
NaLiP2W
1.0
-4.581 0.780 -0.401
-0.701 -1.372 5.336
0.650 4.451 1.230
P Li W Na
2 1 1 1
Cartesian
0.325 2.226 0.615 P
-2.290 0.390 -0.200 P
-2.315 1.930 3.083 Li
0.000 0.000 0.000 W
-0.350 -0.686 2.668 Na
```

---

[6]
Compound: Sr2YHf
Source: the Alexandria database
Functional: PBE-GGA
Structure: optimized geometry

Values from the calculation:
Energy (eV per cell): -32.3

```
Sr2YHf
1.0
-6.467 4.724 4.882
1.342 -5.719 7.312
-0.211 1.529 7.251
Y Sr Hf
2 4 2
Cartesian
-2.562 -0.498 6.097 Y
-0.715 -2.344 10.329 Y
-4.042 2.704 5.865 Sr
0.094 -2.686 6.905 Sr
-2.104 0.876 9.880 Sr
-4.618 0.174 16.238 Sr
0.000 0.000 0.000 Hf
-4.620 2.878 9.115 Hf
```

---

[7]
Compound: Y2Sc2Sn2O
Source: the Alexandria database
Functional: PBE-GGA
Structure: optimized geometry

Values from the calculation:
Raw formation energy (meV/atom): -1406

```
Y2Sc2Sn2O
1.0
-1.002 -3.670 2.169
4.116 -0.253 1.474
-3.622 6.383 4.704
Y Sc Sn O
2 2 2 1
Cartesian
-0.703 1.505 2.221 Y
0.194 0.955 6.126 Y
2.058 -0.126 0.737 Sc
-0.501 -1.835 1.085 Sc
-1.510 3.233 4.771 Sn
1.001 -0.773 3.576 Sn
0.000 0.000 0.000 O
```

---

[8]
Compound: TbTh2Ti
Source: the Alexandria database
Functional: PBE-GGA
Structure: optimized geometry

Values from the calculation:
Energy (eV per cell): -25.6

```
TbTh2Ti
1.0
-0.116 2.212 -2.522
-2.690 1.970 -0.382
4.071 9.577 5.980
Tb Th Ti
1 2 1
Cartesian
0.633 6.879 1.538 Tb
2.863 7.602 4.302 Th
-1.597 6.157 -1.227 Th
0.000 0.000 0.000 Ti
```

---

[9]
Compound: HgC4N2
Source: the Alexandria database
Functional: PBE-GGA
Structure: optimized geometry

Values from the calculation:
Raw formation energy (meV/atom): 2480

```
HgC4N2
1.0
-1.757 1.506 4.124
2.407 -3.385 2.261
4.028 2.024 3.689
C Hg N
4 1 2
Cartesian
2.279 -0.576 6.604 C
2.399 0.721 3.471 C
1.203 -1.693 1.131 C
-0.879 0.753 2.062 C
0.000 0.000 0.000 Hg
3.189 0.153 6.726 N
1.489 -0.008 3.349 N
```

---

[10]
Compound: Ta2AgSb
Source: the Alexandria database
Functional: PBE-GGA
Structure: optimized geometry

Values from the calculation:
Raw formation energy (meV/atom): 541

```
Ta2AgSb
1.0
4.780 0.000 0.000
2.390 4.140 0.000
2.390 1.380 3.903
Sb Ag Ta
1 1 2
Cartesian
7.170 4.140 2.927 Sb
4.780 2.760 1.952 Ag
0.000 0.000 0.000 Ta
2.390 1.380 0.976 Ta
```

---

[11]
Compound: Ti3PtC
Source: the Alexandria database
Functional: PBE-GGA
Structure: optimized geometry

Values from the calculation:
Energy (eV per cell): -82.0

```
Ti3PtC
1.0
-0.553 1.619 -3.354
-0.655 -3.681 0.445
-12.670 2.663 3.375
C Pt Ti
2 2 6
Cartesian
-10.124 0.083 1.710 C
-3.755 0.518 -1.244 C
0.000 0.000 0.000 Pt
-6.335 1.331 1.687 Pt
-3.167 0.666 0.844 Ti
-9.502 1.997 2.531 Ti
-12.050 0.488 2.223 Ti
-8.197 -0.322 1.196 Ti
-5.681 0.923 -0.731 Ti
-1.828 0.113 -1.757 Ti
```

---

[12]
Compound: Li3Y2Cu12Rh
Source: the Alexandria database
Functional: PBE-GGA
Structure: optimized geometry

Values from the calculation:
Energy (eV per cell): -74.4

```
Li3Y2Cu12Rh
1.0
6.235 -1.444 -1.024
1.824 6.135 -1.024
1.824 1.062 6.129
Li Y Cu Rh
3 2 12 1
Cartesian
3.118 -0.722 -0.512 Li
0.912 3.068 -0.512 Li
0.912 0.531 3.064 Li
7.189 4.184 2.968 Y
2.694 1.568 1.112 Y
5.011 2.917 4.312 Cu
6.934 4.036 0.052 Cu
4.628 5.346 3.792 Cu
6.852 1.872 1.327 Cu
6.934 1.384 3.792 Cu
5.011 5.033 1.327 Cu
4.872 2.836 -0.231 Cu
2.949 1.717 4.028 Cu
5.255 0.407 0.289 Cu
3.031 3.881 2.753 Cu
2.949 4.369 0.289 Cu
4.872 0.719 2.753 Cu
0.000 0.000 0.000 Rh
```

---

[13]
Compound: Ba2PrAuO4
Source: the Alexandria database
Functional: PBE-GGA
Structure: optimized geometry

Values from the calculation:
Raw formation energy (meV/atom): -2017

```
Ba2PrAuO4
1.0
-0.959 -4.800 -4.440
3.336 -0.562 5.677
-4.500 2.333 4.240
Ba Pr Au O
2 1 1 4
Cartesian
0.897 -2.238 3.098 Ba
0.000 0.000 0.000 Ba
-3.021 -0.790 2.379 Pr
-0.582 0.886 4.959 Au
-1.113 -1.709 1.531 O
-2.409 1.188 3.334 O
0.591 -4.680 -0.451 O
-1.315 -0.856 6.540 O
```

---

[14]
Compound: Sr2LiAg2
Source: the Alexandria database
Functional: PBE-GGA
Structure: optimized geometry

Values from the calculation:
Energy (eV per cell): -24.3

```
Sr2LiAg2
1.0
-1.986 7.299 3.380
-7.753 -2.665 1.200
1.152 -1.545 4.012
Sr Ag Li
4 4 2
Cartesian
-4.992 -1.300 3.401 Sr
-7.168 1.943 5.275 Sr
-3.595 4.389 5.191 Sr
-1.419 1.146 3.317 Sr
-7.539 0.410 2.322 Ag
-6.577 4.732 3.710 Ag
-2.200 4.224 2.258 Ag
-3.162 -0.098 0.870 Ag
0.000 0.000 0.000 Li
-4.869 2.317 2.290 Li
```

---

[15]
Compound: CrTe
Source: the Alexandria database
Functional: PBE-GGA
Structure: optimized geometry

Values from the calculation:
Raw formation energy (meV/atom): 265

```
CrTe
1.0
8.683 0.000 0.000
0.000 9.738 0.000
0.000 0.000 8.629
Cr Te
16 16
Cartesian
0.000 3.868 0.000 Cr
0.000 5.870 0.000 Cr
2.171 3.436 2.157 Cr
2.171 1.433 2.157 Cr
0.000 8.737 4.315 Cr
0.000 1.001 4.315 Cr
2.171 8.305 6.472 Cr
2.171 6.302 6.472 Cr
4.341 3.868 4.315 Cr
4.341 5.870 4.315 Cr
6.512 3.436 6.472 Cr
6.512 1.433 6.472 Cr
4.341 8.737 0.000 Cr
4.341 1.001 0.000 Cr
6.512 8.305 2.157 Cr
6.512 6.302 2.157 Cr
0.000 0.000 1.855 Te
0.000 0.000 6.774 Te
2.171 7.304 0.302 Te
2.171 7.304 4.012 Te
0.000 4.869 6.169 Te
0.000 4.869 2.460 Te
2.171 2.435 4.617 Te
2.171 2.435 8.327 Te
4.341 0.000 6.169 Te
4.341 0.000 2.460 Te
6.512 7.304 4.617 Te
6.512 7.304 8.327 Te
4.341 4.869 1.855 Te
4.341 4.869 6.774 Te
6.512 2.435 0.302 Te
6.512 2.435 4.012 Te
```

---

[16]
Compound: Al2C
Source: the Alexandria database
Functional: PBE-GGA
Structure: optimized geometry

Values from the calculation:
Energy (eV per cell): -14.3

```
Al2C
1.0
5.177 0.003 0.000
3.750 3.568 0.000
-4.463 -1.786 1.920
C Al
1 2
Cartesian
0.000 0.000 0.000 C
5.670 2.268 0.000 Al
3.257 1.303 0.000 Al
```

---

[17]
Compound: PmCo4P2
Source: the Alexandria database
Functional: PBE-GGA
Structure: optimized geometry

Values from the calculation:
Energy (eV per cell): -97.6

```
PmCo4P2
1.0
3.572 0.000 0.000
0.000 7.154 0.000
0.000 0.000 7.154
Pm Co P
2 8 4
Cartesian
1.786 0.000 0.000 Pm
0.000 3.577 3.577 Pm
0.000 0.581 2.457 Co
0.000 6.574 4.697 Co
1.786 1.120 4.158 Co
1.786 6.034 2.997 Co
1.786 2.997 6.034 Co
1.786 4.158 1.120 Co
0.000 2.457 0.581 Co
0.000 4.697 6.574 Co
0.000 1.601 5.554 P
0.000 5.554 1.601 P
1.786 5.178 5.178 P
1.786 1.977 1.977 P
```

---

[18]
Compound: ErTm2I
Source: the Alexandria database
Functional: PBE-GGA
Structure: optimized geometry

Values from the calculation:
Raw formation energy (meV/atom): -307

```
ErTm2I
1.0
-0.772 3.560 0.645
-0.596 1.166 3.460
9.610 3.566 2.431
I Tm Er
1 2 1
Cartesian
0.000 0.000 0.000 I
6.293 6.241 4.914 Tm
1.949 2.051 1.622 Tm
4.121 4.146 3.268 Er
```